A geometry-optimized BeTlSiIr structure, computed with PBE.

Cell lengths 4.4729, 4.4729, 4.4729 Å; angles 60.00, 60.00, 60.00 degrees
Positions (direct):
Be1 0.0000 0.0000 0.0000
Tl1 0.2500 0.2500 0.2500
Si1 0.7500 0.7500 0.7500
Ir1 0.5000 0.5000 0.5000

## Properties
spin magnetization	0.000	μB/atom
space group	No. 216
V	63.3	Å³/cell
relative energy among the computed polymorphs	65	meV per atom